No. 1
## KNa2Sn2Cl7 (GGA-PBE)

Data for crystalline KNa2Sn2Cl7 at its relaxed geometry.

Geometry as POSCAR:
```
KNa2Sn2Cl7
1.0
-2.8494 11.5759 2.8874
2.8494 -11.5759 2.8874
2.8494 11.5759 -2.8874
K Na Sn Cl
1 2 2 7
Cartesian
0.0000 0.0000 0.0000
2.8494 5.8256 0.9965
0.0000 5.7503 3.8839
0.0000 8.7615 1.0498
0.0000 14.3903 1.0498
2.8494 -2.9766 0.7700
2.8494 2.9766 0.7700
0.0000 5.9555 0.9970
2.8494 8.7562 1.1065
0.0000 11.5759 1.4755
0.0000 2.8198 3.9939
0.0000 17.1964 0.9970
```

Properties
total moment = 0.00 μB/f.u.
D(E_F) = 0.00 states/eV/f.u.
formation energy without anion corrections = -1419 meV/atom

No. 2
## KNaSnCl6 (GGA-PBE)

Data for crystalline KNaSnCl6 at its relaxed geometry.

Geometry as POSCAR:
```
KNaSnCl6
1.0
7.0400 0.0000 0.0000
-3.5200 6.0969 0.0000
0.0000 0.0000 13.2283
K Na Sn Cl
2 2 2 12
Cartesian
0.0000 0.0000 0.0000
0.0000 0.0000 6.6142
0.0000 4.0646 3.3071
3.5200 2.0323 9.9213
0.0000 4.0646 9.9213
3.5200 2.0323 3.3071
-1.0950 2.3643 8.4863
-2.0200 3.9664 11.3562
1.0950 2.3643 11.3562
-0.9249 5.8630 8.4863
2.5951 0.2339 1.8721
1.5001 2.1305 4.7420
2.0200 3.9664 8.4863
0.9249 5.8630 11.3562
4.4450 0.2339 4.7420
2.4250 3.7325 1.8721
5.5400 2.1305 1.8721
4.6150 3.7325 4.7420
```

Properties
total moment = 0.00 μB/f.u.
D(E_F) = 0.00 states/eV/f.u.
formation energy without anion corrections = -1394 meV/atom

No. 3
## K2NaSrCl (GGA-PBE)

Data for crystalline K2NaSrCl at its relaxed geometry.

Geometry as POSCAR:
```
K2NaSrCl
1.0
6.4048 0.0000 0.0000
0.0000 6.4048 0.0000
0.0000 0.0000 5.9749
K Na Sr Cl
2 1 1 1
Cartesian
0.0000 3.2024 0.0000
3.2024 0.0000 0.0000
0.0000 0.0000 2.9875
3.2024 3.2024 2.9875
3.2024 3.2024 0.0000
```

Properties
total moment = 0.00 μB/f.u.
D(E_F) = 2.93 states/eV/f.u.
formation energy without anion corrections = -640 meV/atom